1.
In5Bi5Pb2 (GGA-PBE, optimized geometry); energy of formation from the pure elements = 0.61 eV/f.u.; space-group type = C2/m; total magnetization = 0.00 μB per cell
1.0
5.907 0.076 -0.066
2.920 5.136 -0.066
-2.822 -1.666 12.382
In Bi Pb
5 5 2
direct
0.500 0.500 0.500 In
0.335 0.335 0.994 In
0.253 0.253 0.231 In
0.747 0.747 0.769 In
0.665 0.665 0.006 In
0.820 0.820 0.479 Bi
0.407 0.407 0.751 Bi
0.593 0.593 0.249 Bi
0.180 0.180 0.521 Bi
0.000 0.000 0.000 Bi
0.071 0.071 0.751 Pb
0.929 0.929 0.249 Pb

---

2.
In5BiPb6 (GGA-PBE, optimized geometry); energy of formation from the pure elements = 0.24 eV/f.u.; space-group type = C2/m; total magnetization = 0.00 μB per cell
1.0
-1.395 -5.364 -1.970
6.716 0.870 5.856
-3.918 3.050 7.450
Pb Bi In
6 1 5
direct
0.253 0.083 0.420 Pb
0.747 0.580 0.917 Pb
0.757 0.252 0.252 Pb
0.243 0.748 0.748 Pb
0.253 0.420 0.083 Pb
0.747 0.917 0.580 Pb
0.000 0.000 0.000 Bi
0.500 0.166 0.834 In
0.000 0.333 0.667 In
0.500 0.500 0.500 In
0.000 0.667 0.333 In
0.500 0.834 0.166 In

---

3.
InBi3Pb5 (GGA-PBE, optimized geometry); energy of formation from the pure elements = 1.50 eV/f.u.; space-group type = C2/m; total magnetization = 0.00 μB per cell
1.0
-0.837 -0.309 -8.421
6.043 -4.782 -3.510
-4.160 -9.994 -3.273
In Bi Pb
2 6 10
direct
0.099 0.099 0.696 In
0.901 0.901 0.304 In
0.748 0.748 0.740 Bi
0.672 0.672 0.357 Bi
0.000 0.000 0.000 Bi
0.000 0.000 0.500 Bi
0.252 0.252 0.260 Bi
0.328 0.328 0.643 Bi
0.864 0.339 0.228 Pb
0.338 0.662 0.000 Pb
0.744 0.744 0.030 Pb
0.438 0.438 0.336 Pb
0.562 0.562 0.664 Pb
0.256 0.256 0.970 Pb
0.339 0.864 0.228 Pb
0.662 0.338 0.000 Pb
0.136 0.661 0.772 Pb
0.661 0.136 0.772 Pb

---

4.
In2BiPb (GGA-PBE, optimized geometry); energy of formation from the pure elements = 0.38 eV/f.u.; space-group type = R3m; total magnetization = 0.00 μB per cell
1.0
4.759 0.000 0.000
2.379 4.121 0.000
2.379 1.374 6.693
In Bi Pb
2 1 1
direct
0.082 0.082 0.754 In
0.252 0.252 0.244 In
0.670 0.670 0.990 Bi
0.496 0.496 0.512 Pb

---

5.
In3Bi2Pb4 (GGA-PBE, optimized geometry); energy of formation from the pure elements = 0.16 eV/f.u.; space-group type = C2/m; total magnetization = 0.00 μB per cell
1.0
6.032 -0.784 0.611
-3.695 4.832 -0.611
1.841 -1.063 10.732
In Bi Pb
3 2 4
direct
0.675 0.325 0.440 In
0.000 0.000 0.000 In
0.325 0.675 0.560 In
0.662 0.338 0.782 Bi
0.338 0.662 0.218 Bi
0.336 0.664 0.887 Pb
0.999 0.001 0.341 Pb
0.001 0.999 0.659 Pb
0.664 0.336 0.113 Pb

---

6.
In6BiPb10 (GGA-PBE, optimized geometry); energy of formation from the pure elements = 1.07 eV/f.u.; space-group type = P-31m; total magnetization = 0.00 μB per cell
1.0
6.597 0.000 0.000
0.000 8.287 -4.784
0.000 0.000 9.569
In Bi Pb
6 1 10
direct
0.686 0.369 0.369 In
0.686 0.000 0.631 In
0.686 0.631 0.000 In
0.314 0.631 0.631 In
0.314 0.000 0.369 In
0.314 0.369 0.000 In
0.500 0.000 0.000 Bi
0.825 0.719 0.719 Pb
0.825 0.000 0.281 Pb
0.825 0.281 0.000 Pb
0.175 0.281 0.281 Pb
0.175 0.000 0.719 Pb
0.175 0.719 0.000 Pb
0.500 0.333 0.667 Pb
0.500 0.667 0.333 Pb
0.000 0.667 0.333 Pb
0.000 0.333 0.667 Pb

---

7.
InBi2Pb6 (GGA-PBE, optimized geometry); energy of formation from the pure elements = 0.33 eV/f.u.; space-group type = C2/m; total magnetization = 0.00 μB per cell
1.0
-3.694 2.792 -3.336
-0.191 -6.896 -5.559
-2.378 -2.633 5.310
In Bi Pb
1 2 6
direct
0.500 0.500 0.000 In
0.946 0.177 0.893 Bi
0.054 0.823 0.107 Bi
0.399 0.827 0.797 Pb
0.601 0.173 0.203 Pb
0.722 0.846 0.443 Pb
0.170 0.503 0.339 Pb
0.278 0.154 0.557 Pb
0.830 0.497 0.661 Pb

---

8.
In2Bi5Pb4 (GGA-PBE, optimized geometry); energy of formation from the pure elements = 0.95 eV/f.u.; space-group type = C2/m; total magnetization = 0.00 μB per cell
1.0
-0.975 4.477 -4.675
-6.504 -0.384 -0.634
-3.907 7.676 3.888
In Bi Pb
2 5 4
direct
0.166 0.166 0.865 In
0.834 0.834 0.135 In
0.708 0.231 0.778 Bi
0.292 0.769 0.222 Bi
0.000 0.000 0.500 Bi
0.231 0.708 0.778 Bi
0.769 0.292 0.222 Bi
0.332 0.332 0.492 Pb
0.668 0.668 0.508 Pb
0.686 0.686 0.880 Pb
0.314 0.314 0.120 Pb

---

9.
InBi2Pb8 (GGA-PBE, optimized geometry); energy of formation from the pure elements = 0.89 eV/f.u.; space-group type = C2/m; total magnetization = 0.00 μB per cell
1.0
-4.174 2.499 3.751
-9.045 -3.766 -1.649
-6.090 -6.907 3.731
In Bi Pb
1 2 8
direct
0.000 0.000 0.000 In
0.557 0.171 0.171 Bi
0.443 0.829 0.829 Bi
0.733 0.177 0.657 Pb
0.267 0.343 0.823 Pb
0.968 0.247 0.247 Pb
0.032 0.753 0.753 Pb
0.733 0.657 0.177 Pb
0.267 0.823 0.343 Pb
0.302 0.367 0.367 Pb
0.698 0.633 0.633 Pb

---

10.
In2BiPb3 (GGA-PBE, optimized geometry); energy of formation from the pure elements = 0.10 eV/f.u.; space-group type = P2_1/m; total magnetization = 0.00 μB per cell
1.0
4.843 0.000 0.000
0.000 6.954 0.690
0.000 -1.259 10.775
In Bi Pb
4 2 6
direct
0.250 0.381 0.419 In
0.750 0.619 0.581 In
0.750 0.115 0.920 In
0.250 0.885 0.080 In
0.250 0.861 0.736 Bi
0.750 0.139 0.264 Bi
0.750 0.135 0.585 Pb
0.250 0.865 0.415 Pb
0.750 0.636 0.242 Pb
0.250 0.364 0.758 Pb
0.250 0.365 0.082 Pb
0.750 0.635 0.918 Pb

---

11.
In3BiPb6 (GGA-PBE, optimized geometry); energy of formation from the pure elements = 0.41 eV/f.u.; space-group type = P2_1/m; total magnetization = 0.00 μB per cell
1.0
-0.595 1.912 2.751
-4.936 -10.236 6.044
14.929 1.271 2.348
In Bi Pb
6 2 12
direct
0.750 0.534 0.912 In
0.250 0.466 0.088 In
0.750 0.615 0.498 In
0.250 0.385 0.502 In
0.750 0.245 0.113 In
0.250 0.755 0.887 In
0.750 0.073 0.676 Bi
0.250 0.927 0.324 Bi
0.750 0.557 0.693 Pb
0.250 0.443 0.307 Pb
0.750 0.970 0.089 Pb
0.250 0.030 0.911 Pb
0.750 0.269 0.901 Pb
0.250 0.731 0.099 Pb
0.750 0.674 0.282 Pb
0.250 0.326 0.718 Pb
0.750 0.150 0.491 Pb
0.250 0.850 0.509 Pb
0.750 0.831 0.717 Pb
0.250 0.169 0.283 Pb

---

12.
In4BiPb3 (GGA-PBE, optimized geometry); energy of formation from the pure elements = 0.38 eV/f.u.; space-group type = C2/m; total magnetization = 0.00 μB per cell
1.0
5.472 0.000 -1.930
-0.578 5.618 -1.637
-0.238 -0.705 8.046
Pb Bi In
3 1 4
direct
0.000 0.500 0.000 Pb
0.868 0.867 0.735 Pb
0.132 0.133 0.265 Pb
0.500 0.000 0.000 Bi
0.753 0.251 0.505 In
0.247 0.749 0.495 In
0.376 0.380 0.752 In
0.624 0.620 0.248 In

---

Q: Which value of energy of formation from the pure elements does entry 1 give?
A: 0.61 eV/f.u.

---

Q: Number 9 is which compound?
A: InBi2Pb8